Entry from the Alexandria database: a geometry-optimized K2AsP structure (PBE-GGA).

Cell and atoms, written as POSCAR:
```
K2AsP
1.0
3.945 0.000 0.000
0.000 5.302 0.000
0.000 0.000 11.229
K As P
4 2 2
direct
0.000 0.000 0.000
0.000 0.500 0.218
0.500 0.000 0.718
0.500 0.500 0.500
0.000 0.000 0.417
0.500 0.500 0.917
0.000 0.500 0.792
0.500 0.000 0.292
```

Computed properties:
Polymorph energy (0 for the lowest one) ... 13.5 kJ/mol of formula units

***

Entry from the Alexandria database: a geometry-optimized KAsP2 structure (PBE-GGA).

Cell and atoms, written as POSCAR:
```
KAsP2
1.0
3.473 0.000 0.000
-1.737 3.008 0.000
0.000 0.000 24.660
K As P
3 3 6
direct
0.000 0.000 0.000
0.333 0.667 0.667
0.667 0.333 0.333
0.000 0.000 0.224
0.333 0.667 0.891
0.667 0.333 0.558
0.000 0.000 0.490
0.000 0.000 0.772
0.333 0.667 0.156
0.333 0.667 0.438
0.667 0.333 0.105
0.667 0.333 0.823
```

***

Entry from the Alexandria database: a geometry-optimized K2AsP structure (PBE-GGA).

Cell and atoms, written as POSCAR:
```
K2AsP
1.0
6.281 0.000 0.000
0.000 6.281 0.000
0.000 0.000 2.756
K As P
2 1 1
direct
0.000 0.500 0.000
0.500 0.000 0.000
0.000 0.000 0.500
0.500 0.500 0.500
```

Computed properties:
Polymorph energy (0 for the lowest one) ... 184.8 kJ/mol of formula units

***

Entry from the Alexandria database: a geometry-optimized KAsP2 structure (PBE-GGA).

Cell and atoms, written as POSCAR:
```
KAsP2
1.0
7.187 0.000 0.000
0.000 7.187 0.000
0.000 0.000 8.214
K As P
4 4 8
direct
0.000 0.000 0.000
0.000 0.500 0.250
0.500 0.000 0.750
0.500 0.500 0.500
0.000 0.000 0.500
0.000 0.500 0.750
0.500 0.000 0.250
0.500 0.500 0.000
0.153 0.750 0.625
0.250 0.153 0.375
0.250 0.347 0.875
0.347 0.750 0.125
0.653 0.250 0.125
0.750 0.653 0.875
0.750 0.847 0.375
0.847 0.250 0.625
```

***

Entry from the Alexandria database: a geometry-optimized KAsP structure (PBE-GGA).

Cell and atoms, written as POSCAR:
```
KAsP
1.0
5.780 0.000 0.000
0.088 5.825 0.000
2.278 0.147 5.972
K As P
2 2 2
direct
0.199 0.268 0.206
0.801 0.732 0.794
0.333 0.056 0.665
0.667 0.944 0.335
0.353 0.451 0.649
0.647 0.549 0.351
```

Computed properties:
Polymorph energy (0 for the lowest one) ... 0.0 kJ/mol of formula units

***

Entry from the Alexandria database: a geometry-optimized KAsP4 structure (PBE-GGA).

Cell and atoms, written as POSCAR:
```
KAsP4
1.0
0.000 4.268 4.268
4.268 0.000 4.268
4.268 4.268 0.000
K As P
1 1 4
direct
0.000 0.000 0.000
0.250 0.250 0.250
0.224 0.592 0.592
0.592 0.224 0.592
0.592 0.592 0.224
0.592 0.592 0.592
```

***

Number 1: ΔH_f (0 K) -0.337 eV/atom, E_tot -0.125 Ha/atom. Number 2: ΔH_f (0 K) 0.053 eV/atom, E_tot -0.150 Ha/atom. Number 3: ΔH_f (0 K) 0.106 eV/atom, E_tot -0.109 Ha/atom. Number 4: ΔH_f (0 K) -0.031 eV/atom, E_tot -0.153 Ha/atom. Number 5: ΔH_f (0 K) -0.343 eV/atom, E_tot -0.149 Ha/atom. Number 6: ΔH_f (0 K) 0.255 eV/atom, E_tot -0.158 Ha/atom.